Record 1
Computed, not measured: an optimized crystal structure of NaZrCdHg at the PBE-GGA level of DFT. Values from VASP.

Cell and atoms, written as Quantum ESPRESSO input:
```
&SYSTEM
  ibrav = 0, nat = 4, ntyp = 4
/
ATOMIC_SPECIES
Zr 91.22 Zr.upf
Cd 112.41 Cd.upf
Hg 200.59 Hg.upf
Na 22.99 Na.upf
CELL_PARAMETERS angstrom
-0.4303 4.9919 0.1419
-4.0535 2.1085 2.0610
0.3843 2.4254 4.3696
ATOMIC_POSITIONS crystal
Zr 0.0000 0.0000 0.0000
Cd 0.2500 0.2500 0.2500
Hg 0.7500 0.7500 0.7500
Na 0.5000 0.5000 0.5000
```

## Properties
- DFT formation energy (eV per atom) = 0.028
- uncorrected energy (eV per atom) = -2.743

Record 2
Computed, not measured: an optimized crystal structure of CuMo3C at the PBE-GGA level of DFT. Values from VASP.

Cell and atoms, written as Quantum ESPRESSO input:
```
&SYSTEM
  ibrav = 0, nat = 5, ntyp = 3
/
ATOMIC_SPECIES
Mo 95.94 Mo.upf
C 12.01 C.upf
Cu 63.55 Cu.upf
CELL_PARAMETERS angstrom
-3.2543 2.8150 -1.2086
-2.8161 -2.0546 2.7972
1.2062 2.7982 3.2697
ATOMIC_POSITIONS crystal
Mo 0.0000 0.0000 0.5000
Mo 0.0000 0.5000 0.0000
Mo 0.5000 0.0000 0.0000
C 0.5000 0.5000 0.5000
Cu 0.0000 0.0000 0.0000
```

## Properties
- DFT formation energy (eV per atom) = 2.831
- energy above the most stable polymorph in this dataset (eV/f.u.) = 12.76
- uncorrected energy (eV per atom) = -6.331

Record 3
Computed, not measured: an optimized crystal structure of Zr7Cu2Rh2 at the PBE-GGA level of DFT. Values from VASP.

Cell and atoms, written as Quantum ESPRESSO input:
```
&SYSTEM
  ibrav = 0, nat = 11, ntyp = 3
/
ATOMIC_SPECIES
Zr 91.22 Zr.upf
Cu 63.55 Cu.upf
Rh 102.91 Rh.upf
CELL_PARAMETERS angstrom
-5.6969 -1.6063 -1.2645
0.4817 -5.1872 4.4139
0.0215 3.9243 4.6079
ATOMIC_POSITIONS crystal
Zr 0.5001 0.2705 0.4999
Zr 0.0001 0.2773 0.4998
Zr 0.4999 0.7295 0.5001
Zr 0.5002 0.2773 0.9999
Zr 0.4998 0.7227 0.0001
Zr 0.0000 0.0000 0.0000
Zr 0.9999 0.7227 0.5002
Cu 0.8309 0.5000 0.8309
Cu 0.1691 0.5000 0.1691
Rh 0.7184 0.9999 0.2816
Rh 0.2816 0.0001 0.7184
```

## Properties
- DFT formation energy (eV per atom) = 0.013
- uncorrected energy (eV per atom) = -7.508

Record 4
Computed, not measured: an optimized crystal structure of Th2Co3Ge4Pd at the PBE-GGA level of DFT. Values from VASP.

Cell and atoms, written as Quantum ESPRESSO input:
```
&SYSTEM
  ibrav = 0, nat = 10, ntyp = 4
/
ATOMIC_SPECIES
Ge 72.64 Ge.upf
Co 58.93 Co.upf
Th 232.04 Th.upf
Pd 106.42 Pd.upf
CELL_PARAMETERS angstrom
-2.8493 -3.0742 -0.1530
0.4544 -0.2139 -4.1642
7.1151 -6.6502 1.1181
ATOMIC_POSITIONS crystal
Ge 0.5000 0.0000 0.6401
Ge 0.0000 0.0000 0.0000
Ge 0.5000 0.5000 0.0000
Ge 0.0000 0.5000 0.3599
Co 0.5000 0.0000 0.8795
Co 0.0000 0.5000 0.1205
Co 0.0000 0.0000 0.5000
Th 0.5000 0.0000 0.2432
Th 0.0000 0.5000 0.7568
Pd 0.5000 0.5000 0.5000
```

## Properties
- DFT formation energy (eV per atom) = -0.661
- uncorrected energy (eV per atom) = -6.643